Entry from the Alexandria database: a geometry-optimized Na2VIn2 structure (PBE-GGA).

Summary:
ΔE to the lowest computed polymorph   0.31 eV per formula unit
Energy relative to the elements   410 meV/atom
DFT total energy   -3.04 eV/atom

Lattice parameters (Å, degrees): 3.8992 3.8992 15.8792 90.00 90.00 90.00
Space group I4/mmm (No. 139)
Unique sites:
Na: 0.0000 0.5000 0.2500 (multiplicity 4)
V: 0.0000 0.0000 0.0000 (multiplicity 2)
In: 0.0000 0.0000 0.4082 (multiplicity 4)

=====

Entry from the Alexandria database: a geometry-optimized LaY2VN4 structure (PBE-GGA).

Summary:
DFT total energy   -8.92 eV/atom
E_form (uncorrected)   -1.38 eV/atom

Lattice parameters (Å, degrees): 3.4168 11.8675 11.7979 90.00 90.00 90.00
Space group Cmcm (No. 63)
Unique sites:
La: 0.0000 0.0830 0.2500 (multiplicity 4)
Y: 0.0000 0.3705 0.0425 (multiplicity 8)
V: 0.0000 0.1762 0.7500 (multiplicity 4)
N: 0.0000 0.0000 0.0000 (multiplicity 4)
N: 0.0000 0.2631 0.6247 (multiplicity 8)
N: 0.0000 0.4186 0.2500 (multiplicity 4)

=====

Q: Which of these has the highest DFT total energy?
A: Na2VIn2